No. 1
VASP calculation (PBE) on crystalline CrAs2PS at its relaxed geometry.

The structure in extended XYZ format:
```
5
Lattice="4.805 0.000 0.000 0.000 4.805 0.000 0.000 0.000 4.143" Properties=species:S:1:pos:R:3 pbc="T T T"
Cr 0.000 0.000 0.000
As 0.000 2.402 0.000
As 2.402 0.000 0.000
P 2.402 2.402 2.071
S 0.000 0.000 2.071
```

Values from the calculation:
E_form (uncorrected): 0.5381 eV/atom
space-group type: P4/mmm (123)

No. 2
VASP calculation (PBE) on crystalline CrAsP2S at its relaxed geometry.

The structure in extended XYZ format:
```
5
Lattice="4.620 0.000 0.000 0.000 4.620 0.000 0.000 0.000 4.180" Properties=species:S:1:pos:R:3 pbc="T T T"
Cr 0.000 0.000 0.000
As 2.310 2.310 0.000
P 0.000 2.310 2.090
P 2.310 0.000 2.090
S 0.000 0.000 2.090
```

Values from the calculation:
E_form (uncorrected): 1.0075 eV/atom
polymorph energy (0 for the lowest one): 483.4 meV per atom
space-group type: P4/mmm (123)

No. 3
VASP calculation (PBE) on crystalline CrAsP2S at its relaxed geometry.

The structure in extended XYZ format:
```
5
Lattice="4.623 0.000 0.000 0.000 4.623 0.000 0.000 0.000 4.188" Properties=species:S:1:pos:R:3 pbc="T T T"
Cr 0.000 0.000 0.000
As 2.312 2.312 2.094
P 0.000 2.312 0.000
P 2.312 0.000 0.000
S 0.000 0.000 2.094
```

Values from the calculation:
E_form (uncorrected): 0.5241 eV/atom
polymorph energy (0 for the lowest one): 0.0 meV per atom
space-group type: P4/mmm (123)

No. 4
VASP calculation (PBE) on crystalline SrCrAs2P at its relaxed geometry.

The structure in extended XYZ format:
```
5
Lattice="4.849 0.000 0.000 0.000 4.849 0.000 0.000 0.000 5.395" Properties=species:S:1:pos:R:3 pbc="T T T"
Sr 0.000 0.000 0.000
Cr 2.425 2.425 0.000
As 0.000 2.425 2.698
As 2.425 0.000 2.698
P 0.000 0.000 2.698
```

Values from the calculation:
ΔE_f: 1002 meV per atom
space-group type: P4/mmm (123)

No. 5
VASP calculation (PBE) on crystalline PaCrAs2 at its relaxed geometry.

The structure in extended XYZ format:
```
4
Lattice="3.392 0.000 0.000 0.000 3.392 0.000 0.000 0.000 6.697" Properties=species:S:1:pos:R:3 pbc="T T T"
Pa 0.000 0.000 0.000
Cr 0.000 0.000 3.349
As 1.696 1.696 1.818
As 1.696 1.696 4.879
```

Values from the calculation:
polymorph energy (0 for the lowest one): 0.0 meV per atom
ΔE_f: -195 meV per atom
space-group type: P4/mmm (123)

No. 6
VASP calculation (PBE) on crystalline Pa2CrAs at its relaxed geometry.

The structure in extended XYZ format:
```
4
Lattice="4.284 0.000 0.000 0.000 4.284 0.000 0.000 0.000 4.282" Properties=species:S:1:pos:R:3 pbc="T T T"
Pa 0.000 2.142 0.000
Pa 2.142 0.000 0.000
Cr 0.000 0.000 2.141
As 2.142 2.142 2.141
```

Values from the calculation:
polymorph energy (0 for the lowest one): 0.0 meV per atom
ΔE_f: -177 meV per atom
space-group type: P4/mmm (123)

Number 1: spin magnetization 0.1687 μB/atom, Fermi-level density of states 3.8 states/eV/cell. Number 2: spin magnetization 0.0079 μB/atom, Fermi-level density of states 4.8 states/eV/cell. Number 3: spin magnetization 0.1712 μB/atom, Fermi-level density of states 3.4 states/eV/cell. Number 4: spin magnetization 0.1428 μB/atom, Fermi-level density of states 6.0 states/eV/cell. Number 5: spin magnetization 0.9134 μB/atom, Fermi-level density of states 4.7 states/eV/cell. Number 6: spin magnetization 0.3329 μB/atom, Fermi-level density of states 7.4 states/eV/cell.